# 1
Material: Ac5TlPb6
Method: DFT, PBE
State: relaxed

Values from the calculation:
Formation energy: -43.5 kJ/mol of atoms
Crystal system: orthorhombic

Cell: 9.8869 9.8869 9.8869 Å, 149.07 121.57 67.58°
Closest atoms and distances in Å follow each position.
Sites, in units of the cell vectors:
Ac  0.0000  0.0000  0.0000  8 Pb 3.50-3.66, 4 Ac 3.88
Ac  0.1732  0.6732  0.5000  8 Pb 3.56-3.66, 2 Ac 3.88
Ac  0.3565  0.3565  0.0000  6 Pb 3.46-3.62, 2 Tl 3.54
Ac  0.6435  0.6435  0.0000  6 Pb 3.46-3.62, 2 Tl 3.54
Ac  0.8268  0.3268  0.5000  8 Pb 3.56-3.66, 2 Ac 3.88
Tl  0.5000  0.0000  0.5000  4 Ac 3.54, 8 Pb 3.65-3.69
Pb  0.0787  0.8315  0.2472  7 Ac 3.56-3.90, 1 Tl 3.69, 4 Pb 3.76-3.82
Pb  0.2379  0.5000  0.7379  6 Ac 3.46-3.66, 2 Tl 3.65, 4 Pb 3.82
Pb  0.4158  0.1685  0.2472  7 Ac 3.56-3.90, 1 Tl 3.69, 4 Pb 3.76-3.82
Pb  0.5842  0.8315  0.7528  7 Ac 3.56-3.90, 1 Tl 3.69, 4 Pb 3.76-3.82
Pb  0.7621  0.5000  0.2621  6 Ac 3.46-3.66, 2 Tl 3.65, 4 Pb 3.82
Pb  0.9213  0.1685  0.7528  7 Ac 3.56-3.90, 1 Tl 3.69, 4 Pb 3.76-3.82



# 2
Material: AcTlPb3
Method: DFT, PBE
State: relaxed

Values from the calculation:
ΔE to the lowest computed polymorph: 0.00 eV/f.u.
Formation energy: 7.1 kJ/mol of atoms
Crystal system: orthorhombic

Cell: 8.6392 8.6392 5.8292 Å, 90.00 90.00 115.75°
Closest atoms and distances in Å follow each position.
Sites, in units of the cell vectors:
Ac  0.2266  0.7734  0.7500  4 Pb 3.27-3.62, 1 Tl 3.28
Ac  0.7734  0.2266  0.2500  4 Pb 3.27-3.62, 1 Tl 3.28
Tl  0.4510  0.5490  0.7500  2 Tl 3.25, 6 Pb 3.27-3.60, 1 Ac 3.28
Tl  0.5490  0.4510  0.2500  2 Tl 3.25, 6 Pb 3.27-3.60, 1 Ac 3.28
Pb  0.0000  0.0000  0.0000  2 Pb 2.91
Pb  0.0000  0.0000  0.5000  2 Pb 2.91
Pb  0.1851  0.4816  0.2500  1 Pb 3.06, 1 Tl 3.27, 1 Ac 3.27
Pb  0.4816  0.1851  0.7500  1 Pb 3.06, 1 Tl 3.27, 1 Ac 3.27
Pb  0.5184  0.8149  0.2500  1 Pb 3.06, 1 Tl 3.27, 1 Ac 3.27
Pb  0.8149  0.5184  0.7500  1 Pb 3.06, 1 Tl 3.27, 1 Ac 3.27



# 3
Material: Ac2TlPb3
Method: DFT, PBE
State: relaxed

Values from the calculation:
Formation energy: -31.8 kJ/mol of atoms
Crystal system: orthorhombic

Cell: 3.9558 5.5176 9.5090 Å, 90.00 90.00 90.00°
Closest atoms and distances in Å follow each position.
Sites, in units of the cell vectors:
Ac  0.0000  0.0000  0.0000  2 Tl 3.73, 10 Pb 3.74-3.75, 2 Ac 3.96
Ac  0.0000  0.5000  0.4999  8 Pb 3.73-3.74, 4 Tl 3.75, 2 Ac 3.96
Tl  0.5000  0.0000  0.3326  3 Pb 3.17
Pb  0.5000  0.0000  0.6660  1 Tl 3.17, 2 Pb 3.18
Pb  0.5000  0.5000  0.1676  2 Tl 3.17, 1 Pb 3.18
Pb  0.5000  0.5000  0.8332  3 Pb 3.18



# 4
Material: Ac5TlPb4
Method: DFT, PBE
State: relaxed

Values from the calculation:
ΔE to the lowest computed polymorph: 0.85 eV/f.u.
Formation energy: -34.7 kJ/mol of atoms
Crystal system: tetragonal

Cell: 8.3630 8.3630 8.3630 Å, 99.88 99.88 131.07°
Closest atoms and distances in Å follow each position.
Sites, in units of the cell vectors:
Ac  0.0000  0.0000  0.0000  1 Tl 3.26, 4 Pb 3.46
Ac  0.3243  0.5387  0.5889  5 Pb 3.37-3.51, 1 Tl 3.71
Ac  0.5387  0.9498  0.2143  5 Pb 3.37-3.51, 1 Tl 3.71
Ac  0.7354  0.3243  0.7857  5 Pb 3.37-3.51, 1 Tl 3.71
Ac  0.9498  0.7354  0.4111  5 Pb 3.37-3.51, 1 Tl 3.71
Tl  0.4709  0.4709  0.0000  1 Ac 3.26
Pb  0.0363  0.4313  0.1831  6 Ac 3.37-3.51
Pb  0.2482  0.8532  0.8169  6 Ac 3.37-3.51
Pb  0.4313  0.2482  0.3949  6 Ac 3.37-3.51
Pb  0.8532  0.0363  0.6051  6 Ac 3.37-3.51



# 5
Material: Ac4Tl5Pb
Method: DFT, PBE
State: relaxed

Values from the calculation:
Formation energy: -33.9 kJ/mol of atoms
Crystal system: monoclinic

Cell: 9.2546 9.2546 7.1038 Å, 103.85 103.85 35.71°
Closest atoms and distances in Å follow each position.
Sites, in units of the cell vectors:
Ac  0.0874  0.0874  0.3401  6 Tl 3.37-3.76, 2 Pb 3.55
Ac  0.3098  0.3098  0.1963  6 Tl 3.31-3.57, 1 Pb 3.50
Ac  0.6902  0.6902  0.8037  6 Tl 3.31-3.57, 1 Pb 3.50
Ac  0.9126  0.9126  0.6599  6 Tl 3.37-3.76, 2 Pb 3.55
Tl  0.1058  0.1058  0.8796  4 Ac 3.31-3.37, 2 Tl 3.61
Tl  0.2884  0.2884  0.6834  7 Ac 3.54-3.76, 4 Tl 3.81-3.86
Tl  0.5000  0.5000  0.0000  2 Pb 3.55, 6 Tl 3.61-3.84, 6 Ac 3.79-3.94
Tl  0.7116  0.7116  0.3166  7 Ac 3.54-3.76, 4 Tl 3.81-3.86
Tl  0.8942  0.8942  0.1204  4 Ac 3.31-3.37, 2 Tl 3.61
Pb  0.5000  0.5000  0.5000  6 Ac 3.50-3.55, 2 Tl 3.55



# 6
Material: Ac3Tl3Pb2
Method: DFT, PBE
State: relaxed

Values from the calculation:
ΔE to the lowest computed polymorph: 0.00 eV/f.u.
Formation energy: -34.7 kJ/mol of atoms
Crystal system: orthorhombic

Cell: 6.8432 6.8432 17.3598 Å, 90.00 90.00 137.29°
Closest atoms and distances in Å follow each position.
Sites, in units of the cell vectors:
Ac  0.0578  0.9422  0.6113  6 Tl 3.49-3.66, 3 Pb 3.65-3.70
Ac  0.0578  0.9422  0.8887  6 Tl 3.49-3.66, 3 Pb 3.65-3.70
Ac  0.3266  0.6734  0.7500  1 Tl 3.34, 4 Pb 3.47
Ac  0.6734  0.3266  0.2500  1 Tl 3.34, 4 Pb 3.47
Ac  0.9422  0.0578  0.1113  6 Tl 3.49-3.66, 3 Pb 3.65-3.70
Ac  0.9422  0.0578  0.3887  6 Tl 3.49-3.66, 3 Pb 3.65-3.70
Tl  0.3761  0.6239  0.5354  3 Pb 3.19-3.22, 1 Tl 3.39
Tl  0.3761  0.6239  0.9646  3 Pb 3.19-3.22, 1 Tl 3.39
Tl  0.4113  0.5887  0.2500  2 Pb 3.23, 5 Ac 3.34-3.49
Tl  0.5887  0.4113  0.7500  2 Pb 3.23, 5 Ac 3.34-3.49
Tl  0.6239  0.3761  0.0354  3 Pb 3.19-3.22, 1 Tl 3.39
Tl  0.6239  0.3761  0.4646  3 Pb 3.19-3.22, 1 Tl 3.39
Pb  0.2327  0.7673  0.1176  4 Tl 3.19-3.23, 2 Ac 3.47
Pb  0.2327  0.7673  0.3824  4 Tl 3.19-3.23, 2 Ac 3.47
Pb  0.7673  0.2327  0.6176  4 Tl 3.19-3.23, 2 Ac 3.47
Pb  0.7673  0.2327  0.8824  4 Tl 3.19-3.23, 2 Ac 3.47



# 7
Material: Ac7Tl2Pb2
Method: DFT, PBE
State: relaxed

Values from the calculation:
Formation energy: -8.8 kJ/mol of atoms
Crystal system: orthorhombic

Cell: 7.6022 7.6022 8.4234 Å, 90.00 90.00 109.09°
Closest atoms and distances in Å follow each position.
Sites, in units of the cell vectors:
Ac  0.0000  0.0000  0.0000  2 Tl 3.53
Ac  0.0000  0.5000  0.2907  2 Tl 3.32, 1 Ac 3.53, 2 Pb 3.62
Ac  0.0000  0.5000  0.7093  2 Tl 3.32, 1 Ac 3.53, 2 Pb 3.62
Ac  0.5000  0.0000  0.2907  2 Tl 3.32, 1 Ac 3.53, 2 Pb 3.62
Ac  0.5000  0.0000  0.7093  2 Tl 3.32, 1 Ac 3.53, 2 Pb 3.62
Ac  0.5000  0.5000  0.2509  2 Tl 3.40, 2 Pb 3.53
Ac  0.5000  0.5000  0.7491  2 Tl 3.40, 2 Pb 3.53
Tl  0.2850  0.7150  0.0000  7 Ac 3.32-3.53
Tl  0.7150  0.2850  0.0000  7 Ac 3.32-3.53
Pb  0.1775  0.1775  0.5000  1 Pb 3.13
Pb  0.8225  0.8225  0.5000  1 Pb 3.13



# 8
Material: Ac3Tl2Pb2
Method: DFT, PBE
State: relaxed

Values from the calculation:
Formation energy: -39.0 kJ/mol of atoms
Crystal system: monoclinic

Cell: 6.8020 6.8020 8.5205 Å, 108.64 108.64 43.05°
Closest atoms and distances in Å follow each position.
Sites, in units of the cell vectors:
Ac  0.0000  0.0000  0.0000  4 Tl 3.43, 4 Pb 3.74
Ac  0.1691  0.1691  0.6358  3 Tl 3.35-3.69, 3 Pb 3.48-3.51
Ac  0.8309  0.8309  0.3642  3 Tl 3.35-3.69, 3 Pb 3.48-3.51
Tl  0.3255  0.3255  0.0424  2 Tl 3.08, 1 Pb 3.11, 3 Ac 3.35-3.43
Tl  0.6745  0.6745  0.9576  2 Tl 3.08, 1 Pb 3.11, 3 Ac 3.35-3.43
Pb  0.4506  0.4506  0.6554  1 Tl 3.11, 1 Pb 3.29
Pb  0.5494  0.5494  0.3446  1 Tl 3.11, 1 Pb 3.29



# 9
Material: Ac3TlPb
Method: DFT, PBE
State: relaxed

Values from the calculation:
Formation energy: -28.3 kJ/mol of atoms
Crystal system: orthorhombic

Cell: 4.9967 7.9598 10.3430 Å, 90.00 90.00 90.00°
Closest atoms and distances in Å follow each position.
Sites, in units of the cell vectors:
Ac  0.2500  0.0198  0.1748  3 Tl 3.38-3.41, 2 Pb 3.58, 1 Ac 3.66
Ac  0.2500  0.2500  0.5699  1 Tl 3.38, 2 Pb 3.39
Ac  0.2500  0.4802  0.1748  3 Tl 3.38-3.41, 2 Pb 3.58, 1 Ac 3.66
Ac  0.7500  0.5198  0.8252  3 Tl 3.38-3.41, 2 Pb 3.58, 1 Ac 3.66
Ac  0.7500  0.7500  0.4301  1 Tl 3.38, 2 Pb 3.39
Ac  0.7500  0.9802  0.8252  3 Tl 3.38-3.41, 2 Pb 3.58, 1 Ac 3.66
Tl  0.2500  0.2500  0.8972  7 Ac 3.38-3.41
Tl  0.7500  0.7500  0.1028  7 Ac 3.38-3.41
Pb  0.2500  0.7500  0.6510  6 Ac 3.39-3.58
Pb  0.7500  0.2500  0.3490  6 Ac 3.39-3.58



# 10
Material: Ac7Tl3Pb
Method: DFT, PBE
State: relaxed

Values from the calculation:
Formation energy: -17.7 kJ/mol of atoms
Crystal system: monoclinic

Cell: 8.8310 8.8310 6.4533 Å, 111.28 111.28 91.10°
Closest atoms and distances in Å follow each position.
Sites, in units of the cell vectors:
Ac  0.0000  0.0000  0.0000  2 Pb 3.23, 2 Tl 3.37
Ac  0.1024  0.5606  0.3307  4 Tl 3.39-3.70, 4 Ac 3.56-3.78
Ac  0.3215  0.3215  0.8220  1 Pb 3.40, 4 Tl 3.49-3.74, 3 Ac 3.78
Ac  0.4394  0.8976  0.6693  4 Tl 3.39-3.70, 4 Ac 3.56-3.78
Ac  0.5606  0.1024  0.3307  4 Tl 3.39-3.70, 4 Ac 3.56-3.78
Ac  0.6785  0.6785  0.1780  1 Pb 3.40, 4 Tl 3.49-3.74, 3 Ac 3.78
Ac  0.8976  0.4394  0.6693  4 Tl 3.39-3.70, 4 Ac 3.56-3.78
Tl  0.2672  0.7328  0.0000  9 Ac 3.37-3.70
Tl  0.5000  0.5000  0.5000  8 Ac 3.39-3.74
Tl  0.7328  0.2672  0.0000  9 Ac 3.37-3.70
Pb  0.0000  0.0000  0.5000  4 Ac 3.23-3.40



What did the fifth record say?
Material: Ac4Tl5Pb
Method: DFT, PBE
State: relaxed

Values from the calculation:
Formation energy: -33.9 kJ/mol of atoms
Crystal system: monoclinic

Cell: 9.2546 9.2546 7.1038 Å, 103.85 103.85 35.71°
Closest atoms and distances in Å follow each position.
Sites, in units of the cell vectors:
Ac  0.0874  0.0874  0.3401  6 Tl 3.37-3.76, 2 Pb 3.55
Ac  0.3098  0.3098  0.1963  6 Tl 3.31-3.57, 1 Pb 3.50
Ac  0.6902  0.6902  0.8037  6 Tl 3.31-3.57, 1 Pb 3.50
Ac  0.9126  0.9126  0.6599  6 Tl 3.37-3.76, 2 Pb 3.55
Tl  0.1058  0.1058  0.8796  4 Ac 3.31-3.37, 2 Tl 3.61
Tl  0.2884  0.2884  0.6834  7 Ac 3.54-3.76, 4 Tl 3.81-3.86
Tl  0.5000  0.5000  0.0000  2 Pb 3.55, 6 Tl 3.61-3.84, 6 Ac 3.79-3.94
Tl  0.7116  0.7116  0.3166  7 Ac 3.54-3.76, 4 Tl 3.81-3.86
Tl  0.8942  0.8942  0.1204  4 Ac 3.31-3.37, 2 Tl 3.61
Pb  0.5000  0.5000  0.5000  6 Ac 3.50-3.55, 2 Tl 3.55